An optimized crystal structure of VPPd2, computed with PBE.

Values from the calculation:
The value obtained for the formation enthalpy at 0 K is -30.9 kJ/mol of formula units. The value obtained for the size of the total moment is 1.42 μB/f.u.

Lattice parameters (Å, degrees): 3.7161 3.7161 17.8176 90.00 90.00 90.00
With the nearest neighbours (Å) after each atom.
Space group I-42d (No. 122)
Asymmetric unit:
V: 0.0000 0.0000 0.0000  4 Pd 2.59, 4 P 2.63
P: 0.0000 0.0000 0.5000  4 Pd 2.58, 4 V 2.63
Pd: 0.2441 0.2500 0.6250  2 P 2.58, 2 V 2.59, 4 Pd 2.60-2.66

An optimized crystal structure of V2PPd8, computed with PBE.

Values from the calculation:
The value obtained for the formation enthalpy at 0 K is -259.6 kJ/mol of formula units. The value obtained for the size of the total moment is 0.00 μB/f.u.

Lattice parameters (Å, degrees): 15.4811 4.2059 5.4250 90.00 108.97 90.00
With the nearest neighbours (Å) after each atom.
Space group C2/m (No. 12)
Asymmetric unit:
V: 0.1833 0.0000 0.2402  9 Pd 2.52-2.73
P: 0.0000 0.5000 0.5000  8 Pd 2.36-2.52
Pd: 0.0251 0.0000 0.2761  1 V 2.52, 2 P 2.52, 5 Pd 2.78-2.82
Pd: 0.0976 0.5000 0.9373  1 P 2.36
Pd: 0.1488 0.5000 0.4689  1 P 2.36, 3 V 2.56-2.58
Pd: 0.2177 0.0000 0.8162  3 V 2.52-2.68, 3 Pd 2.74-2.79

An optimized crystal structure of VPPd3, computed with PBE.

Values from the calculation:
For the excess energy over the best structure of this formula in the dataset, the calculation gives 877 meV/atom. The value obtained for the formation enthalpy at 0 K is 469.6 kJ/mol of formula units. The value obtained for the size of the total moment is 1.09 μB/f.u.

Lattice parameters (Å, degrees): 4.5952 4.5952 4.5952 90.00 90.00 90.00
With the nearest neighbours (Å) after each atom.
Space group Pm-3m (No. 221)
Asymmetric unit:
V: 0.0000 0.0000 0.0000  6 Pd 2.30
P: 0.5000 0.5000 0.5000  12 Pd 3.25
Pd: 0.0000 0.0000 0.5000  2 V 2.30